16
Lattice="5.327 0.000 0.000 0.000 5.327 0.000 0.000 0.000 7.763" Properties=species:S:1:pos:R:3 comment="CaTbF6, optimized geometry, DFT GGA-PBEsol" dos_ef_per_ev_cell=17.329 formation_energy_uncorrected_ev_per_fu=-27.63 magmom_total_mub_per_fu=1.06 spacegroup="P4_2/m, No. 84" pbc="T T T"
Ca 0.000 0.000 0.000
Ca 0.000 0.000 3.881
Tb 2.664 2.664 1.941
Tb 2.664 2.664 5.822
F 0.926 1.444 1.384
F 0.926 1.444 6.379
F 1.444 4.401 2.497
F 1.444 4.401 5.266
F 1.605 1.869 3.881
F 1.869 3.723 0.000
F 3.458 1.605 0.000
F 3.723 3.458 3.881
F 3.883 0.926 2.497
F 3.883 0.926 5.266
F 4.401 3.883 1.384
F 4.401 3.883 6.379

4
Lattice="0.000 3.470 3.470 3.470 0.000 3.470 3.470 3.470 0.000" Properties=species:S:1:pos:R:3 comment="Ca2TcF, optimized geometry, DFT GGA-PBEsol" dos_ef_per_ev_cell=7.658 formation_energy_uncorrected_ev_per_fu=-0.18 magmom_total_mub_per_fu=2.00 spacegroup="Fm-3m, No. 225" pbc="T T T"
Ca 1.735 1.735 1.735
Ca 5.205 5.205 5.205
Tc 0.000 0.000 0.000
F 3.470 3.470 3.470

4
Lattice="1.735 1.001 5.963 -1.735 1.001 5.963 0.000 -2.003 5.963" Properties=species:S:1:pos:R:3 comment="CaTcF2, optimized geometry, DFT GGA-PBEsol" dos_ef_per_ev_cell=1.863 formation_energy_uncorrected_ev_per_fu=-6.29 magmom_total_mub_per_fu=1.52 spacegroup="R-3m, No. 166" pbc="T T T"
Ca 0.000 0.000 0.000
Tc 0.000 0.000 8.944
F 0.000 0.000 6.854
F 0.000 0.000 11.034

8
Lattice="-2.099 2.099 11.562 2.099 -2.099 11.562 2.099 2.099 -11.562" Properties=species:S:1:pos:R:3 comment="CaTe2F, optimized geometry, DFT GGA-PBEsol" dos_ef_per_ev_cell=1.413 formation_energy_uncorrected_ev_per_fu=-5.41 magmom_total_mub_per_fu=0.00 spacegroup="I-42d, No. 122" pbc="T T T"
Ca 0.000 0.000 0.000
Ca 0.000 2.099 5.781
Te 1.050 -1.047 8.672
Te 1.052 1.050 2.891
Te 1.050 3.146 -2.891
Te 1.047 1.050 14.453
F 2.099 0.000 5.781
F 0.000 0.000 11.562

13
Lattice="4.525 -3.275 0.000 4.525 3.275 0.000 -3.499 0.000 6.907" Properties=species:S:1:pos:R:3 comment="CaTi2F10, optimized geometry, DFT GGA-PBEsol" dos_ef_per_ev_cell=0.000 formation_energy_uncorrected_ev_per_fu=-45.62 magmom_total_mub_per_fu=0.00 spacegroup="C2, No. 5" pbc="T T T"
Ca 0.000 0.000 0.000
Ti 1.845 -0.250 5.129
Ti 3.706 -0.250 1.778
F 1.579 1.526 5.572
F 3.973 1.526 1.335
F 2.000 -0.087 0.965
F 0.302 -0.351 4.265
F 2.776 0.007 3.454
F 4.525 -0.642 0.000
F 3.552 -0.087 5.942
F 5.250 -0.351 2.642
F 3.517 -2.091 1.711
F 2.035 -2.091 5.196

8
Lattice="0.000 4.112 4.112 4.112 0.000 4.112 4.112 4.112 0.000" Properties=species:S:1:pos:R:3 comment="CaTiF6, optimized geometry, DFT GGA-PBEsol" dos_ef_per_ev_cell=0.000 formation_energy_uncorrected_ev_per_fu=-29.25 magmom_total_mub_per_fu=0.00 spacegroup="Fm-3m, No. 225" pbc="T T T"
Ca 0.000 0.000 0.000
Ti 4.112 4.112 4.112
F 4.112 4.112 2.240
F 4.112 2.240 4.112
F 5.985 4.112 4.112
F 2.240 4.112 4.112
F 4.112 5.985 4.112
F 4.112 4.112 5.985

Copy entry 3 word for word.
4
Lattice="1.735 1.001 5.963 -1.735 1.001 5.963 0.000 -2.003 5.963" Properties=species:S:1:pos:R:3 comment="CaTcF2, optimized geometry, DFT GGA-PBEsol" dos_ef_per_ev_cell=1.863 formation_energy_uncorrected_ev_per_fu=-6.29 magmom_total_mub_per_fu=1.52 spacegroup="R-3m, No. 166" pbc="T T T"
Ca 0.000 0.000 0.000
Tc 0.000 0.000 8.944
F 0.000 0.000 6.854
F 0.000 0.000 11.034

What is the formula in the second record?
Ca2TcF

Repeat the first record exactly.
16
Lattice="5.327 0.000 0.000 0.000 5.327 0.000 0.000 0.000 7.763" Properties=species:S:1:pos:R:3 comment="CaTbF6, optimized geometry, DFT GGA-PBEsol" dos_ef_per_ev_cell=17.329 formation_energy_uncorrected_ev_per_fu=-27.63 magmom_total_mub_per_fu=1.06 spacegroup="P4_2/m, No. 84" pbc="T T T"
Ca 0.000 0.000 0.000
Ca 0.000 0.000 3.881
Tb 2.664 2.664 1.941
Tb 2.664 2.664 5.822
F 0.926 1.444 1.384
F 0.926 1.444 6.379
F 1.444 4.401 2.497
F 1.444 4.401 5.266
F 1.605 1.869 3.881
F 1.869 3.723 0.000
F 3.458 1.605 0.000
F 3.723 3.458 3.881
F 3.883 0.926 2.497
F 3.883 0.926 5.266
F 4.401 3.883 1.384
F 4.401 3.883 6.379